No. 1
Density functional theory data (GGA-PBE) for crystalline LaHoTmCu at its relaxed geometry.

Calculated values
Total magnetization = 0.000 μB/atom
Total energy = -4.6223 eV/atom

```
data_LaHoTmCu
_cell_length_a 3.506
_cell_length_b 3.506
_cell_length_c 8.799
_cell_angle_alpha 90.00
_cell_angle_beta 90.00
_cell_angle_gamma 90.00
_symmetry_space_group_name_H-M 'P 1'
_symmetry_Int_Tables_number 1
loop_
_symmetry_equiv_pos_as_xyz
'x,y,z'
loop_
_atom_site_label
_atom_site_fract_x
_atom_site_fract_y
_atom_site_fract_z
La1 0.000 0.000 0.000
Ho1 0.500 0.500 0.686
Tm1 0.500 0.500 0.312
Cu1 0.000 0.000 0.494
```



No. 2
Density functional theory data (GGA-PBE) for crystalline MgTl2P at its relaxed geometry.

Calculated values
Offset from the most stable computed form = 0.2570 eV per atom
Total magnetization = 0.000 μB/atom
Total energy = -2.7727 eV/atom

```
data_MgTl2P
_cell_length_a 5.534
_cell_length_b 5.534
_cell_length_c 5.534
_cell_angle_alpha 130.12
_cell_angle_beta 130.12
_cell_angle_gamma 73.21
_symmetry_space_group_name_H-M 'P 1'
_symmetry_Int_Tables_number 1
loop_
_symmetry_equiv_pos_as_xyz
'x,y,z'
loop_
_atom_site_label
_atom_site_fract_x
_atom_site_fract_y
_atom_site_fract_z
Mg1 0.000 0.000 0.000
Tl1 0.500 0.500 0.000
Tl2 0.750 0.250 0.500
P1 0.250 0.750 0.500
```



No. 3
Density functional theory data (GGA-PBE) for crystalline GaCN3 at its relaxed geometry.

Calculated values
Raw formation energy = 2316 meV/atom
Total magnetization = 0.000 μB/atom
Total energy = -5.1296 eV/atom

```
data_GaCN3
_cell_length_a 3.366
_cell_length_b 3.366
_cell_length_c 3.366
_cell_angle_alpha 90.00
_cell_angle_beta 90.00
_cell_angle_gamma 90.00
_symmetry_space_group_name_H-M 'P 1'
_symmetry_Int_Tables_number 1
loop_
_symmetry_equiv_pos_as_xyz
'x,y,z'
loop_
_atom_site_label
_atom_site_fract_x
_atom_site_fract_y
_atom_site_fract_z
Ga1 0.000 0.000 0.000
C1 0.500 0.500 0.500
N1 0.000 0.500 0.500
N2 0.500 0.000 0.500
N3 0.500 0.500 0.000
```



No. 4
Density functional theory data (GGA-PBE) for crystalline AlSb2Au2 at its relaxed geometry.

Calculated values
Offset from the most stable computed form = 0.1829 eV per atom
Raw formation energy = 254 meV/atom
Total magnetization = 0.000 μB/atom
Total energy = -3.4543 eV/atom

```
data_AlSb2Au2
_cell_length_a 7.173
_cell_length_b 7.173
_cell_length_c 7.173
_cell_angle_alpha 144.27
_cell_angle_beta 144.27
_cell_angle_gamma 51.42
_symmetry_space_group_name_H-M 'P 1'
_symmetry_Int_Tables_number 1
loop_
_symmetry_equiv_pos_as_xyz
'x,y,z'
loop_
_atom_site_label
_atom_site_fract_x
_atom_site_fract_y
_atom_site_fract_z
Al1 0.000 0.000 0.000
Sb1 0.250 0.750 0.500
Sb2 0.750 0.250 0.500
Au1 0.398 0.398 0.000
Au2 0.602 0.602 0.000
```



No. 5
Density functional theory data (GGA-PBE) for crystalline AlAs3 at its relaxed geometry.

Calculated values
Offset from the most stable computed form = 0.4369 eV per atom
Total magnetization = 0.000 μB/atom
Total energy = -4.0862 eV/atom

```
data_AlAs3
_cell_length_a 4.225
_cell_length_b 4.225
_cell_length_c 4.225
_cell_angle_alpha 90.00
_cell_angle_beta 90.00
_cell_angle_gamma 90.00
_symmetry_space_group_name_H-M 'P 1'
_symmetry_Int_Tables_number 1
loop_
_symmetry_equiv_pos_as_xyz
'x,y,z'
loop_
_atom_site_label
_atom_site_fract_x
_atom_site_fract_y
_atom_site_fract_z
Al1 0.000 0.000 0.000
As1 0.000 0.500 0.500
As2 0.500 0.000 0.500
As3 0.500 0.500 0.000
```



No. 6
Density functional theory data (GGA-PBE) for crystalline FeOs3Cl at its relaxed geometry.

Calculated values
Offset from the most stable computed form = 0.0390 eV per atom
Raw formation energy = 2231 meV/atom
Total magnetization = 0.627 μB/atom
Total energy = -6.5682 eV/atom

```
data_FeOs3Cl
_cell_length_a 4.499
_cell_length_b 4.499
_cell_length_c 4.499
_cell_angle_alpha 90.00
_cell_angle_beta 90.00
_cell_angle_gamma 90.00
_symmetry_space_group_name_H-M 'P 1'
_symmetry_Int_Tables_number 1
loop_
_symmetry_equiv_pos_as_xyz
'x,y,z'
loop_
_atom_site_label
_atom_site_fract_x
_atom_site_fract_y
_atom_site_fract_z
Fe1 0.000 0.000 0.000
Os1 0.000 0.000 0.500
Os2 0.000 0.500 0.000
Os3 0.500 0.000 0.000
Cl1 0.500 0.500 0.500
```



No. 7
Density functional theory data (GGA-PBE) for crystalline TbTm3Sc2Bi6 at its relaxed geometry.

Calculated values
Total magnetization = 0.000 μB/atom
Total energy = -5.2496 eV/atom

```
data_TbTm3Sc2Bi6
_cell_length_a 9.812
_cell_length_b 9.812
_cell_length_c 8.783
_cell_angle_alpha 102.88
_cell_angle_beta 102.88
_cell_angle_gamma 25.85
_symmetry_space_group_name_H-M 'P 1'
_symmetry_Int_Tables_number 1
loop_
_symmetry_equiv_pos_as_xyz
'x,y,z'
loop_
_atom_site_label
_atom_site_fract_x
_atom_site_fract_y
_atom_site_fract_z
Tb1 0.000 0.000 0.000
Tm1 0.000 0.000 0.500
Tm2 0.335 0.335 0.169
Tm3 0.665 0.665 0.831
Sc1 0.333 0.333 0.667
Sc2 0.667 0.667 0.333
Bi1 0.169 0.169 0.091
Bi2 0.169 0.169 0.576
Bi3 0.496 0.496 0.745
Bi4 0.504 0.504 0.255
Bi5 0.831 0.831 0.424
Bi6 0.831 0.831 0.909
```



No. 8
Density functional theory data (GGA-PBE) for crystalline Nd6YAl at its relaxed geometry.

Calculated values
Total magnetization = 0.000 μB/atom
Total energy = -4.9125 eV/atom

```
data_Nd6YAl
_cell_length_a 6.676
_cell_length_b 6.676
_cell_length_c 6.835
_cell_angle_alpha 95.04
_cell_angle_beta 95.04
_cell_angle_gamma 119.12
_symmetry_space_group_name_H-M 'P 1'
_symmetry_Int_Tables_number 1
loop_
_symmetry_equiv_pos_as_xyz
'x,y,z'
loop_
_atom_site_label
_atom_site_fract_x
_atom_site_fract_y
_atom_site_fract_z
Nd1 0.089 0.658 0.738
Nd2 0.249 0.249 0.936
Nd3 0.342 0.911 0.262
Nd4 0.658 0.089 0.738
Nd5 0.751 0.751 0.064
Nd6 0.911 0.342 0.262
Y1 0.500 0.500 0.500
Al1 0.000 0.000 0.500
```



No. 9
Density functional theory data (GGA-PBE) for crystalline DyNiGe at its relaxed geometry.

Calculated values
Total magnetization = 0.000 μB/atom
Total energy = -5.7916 eV/atom

```
data_DyNiGe
_cell_length_a 4.243
_cell_length_b 13.943
_cell_length_c 7.261
_cell_angle_alpha 90.00
_cell_angle_beta 90.00
_cell_angle_gamma 90.00
_symmetry_space_group_name_H-M 'P 1'
_symmetry_Int_Tables_number 1
loop_
_symmetry_equiv_pos_as_xyz
'x,y,z'
loop_
_atom_site_label
_atom_site_fract_x
_atom_site_fract_y
_atom_site_fract_z
Dy1 0.250 0.003 0.213
Dy2 0.250 0.250 0.294
Dy3 0.250 0.497 0.213
Dy4 0.250 0.750 0.287
Dy5 0.750 0.250 0.713
Dy6 0.750 0.503 0.787
Dy7 0.750 0.750 0.706
Dy8 0.750 0.997 0.787
Ni1 0.250 0.142 0.921
Ni2 0.250 0.358 0.921
Ni3 0.250 0.595 0.581
Ni4 0.250 0.905 0.581
Ni5 0.750 0.095 0.419
Ni6 0.750 0.405 0.419
Ni7 0.750 0.642 0.079
Ni8 0.750 0.858 0.079
Ge1 0.250 0.102 0.590
Ge2 0.250 0.398 0.590
Ge3 0.250 0.649 0.912
Ge4 0.250 0.851 0.912
Ge5 0.750 0.149 0.088
Ge6 0.750 0.351 0.088
Ge7 0.750 0.602 0.410
Ge8 0.750 0.898 0.410
```



No. 10
Density functional theory data (GGA-PBE) for crystalline CuSnSCl2 at its relaxed geometry.

Calculated values
Offset from the most stable computed form = 0.3812 eV per atom
Raw formation energy = 77 meV/atom
Total magnetization = 0.000 μB/atom
Total energy = -3.1066 eV/atom

```
data_CuSnSCl2
_cell_length_a 5.222
_cell_length_b 5.222
_cell_length_c 5.065
_cell_angle_alpha 90.00
_cell_angle_beta 90.00
_cell_angle_gamma 90.00
_symmetry_space_group_name_H-M 'P 1'
_symmetry_Int_Tables_number 1
loop_
_symmetry_equiv_pos_as_xyz
'x,y,z'
loop_
_atom_site_label
_atom_site_fract_x
_atom_site_fract_y
_atom_site_fract_z
Cu1 0.000 0.000 0.000
Sn1 0.500 0.500 0.500
S1 0.500 0.500 0.000
Cl1 0.000 0.500 0.500
Cl2 0.500 0.000 0.500
```



No. 11
Density functional theory data (GGA-PBE) for crystalline Al2TeC at its relaxed geometry.

Calculated values
Raw formation energy = 1313 meV/atom
Total magnetization = 0.000 μB/atom
Total energy = -3.6494 eV/atom

```
data_Al2TeC
_cell_length_a 4.587
_cell_length_b 4.587
_cell_length_c 4.587
_cell_angle_alpha 60.00
_cell_angle_beta 60.00
_cell_angle_gamma 60.00
_symmetry_space_group_name_H-M 'P 1'
_symmetry_Int_Tables_number 1
loop_
_symmetry_equiv_pos_as_xyz
'x,y,z'
loop_
_atom_site_label
_atom_site_fract_x
_atom_site_fract_y
_atom_site_fract_z
Al1 0.250 0.250 0.250
Al2 0.750 0.750 0.750
Te1 0.000 0.000 0.000
C1 0.500 0.500 0.500
```



No. 12
Density functional theory data (GGA-PBE) for crystalline V2ReGe4 at its relaxed geometry.

Calculated values
Total magnetization = 0.047 μB/atom
Total energy = -6.9351 eV/atom

```
data_V2ReGe4
_cell_length_a 7.579
_cell_length_b 7.579
_cell_length_c 5.440
_cell_angle_alpha 109.60
_cell_angle_beta 109.60
_cell_angle_gamma 22.98
_symmetry_space_group_name_H-M 'P 1'
_symmetry_Int_Tables_number 1
loop_
_symmetry_equiv_pos_as_xyz
'x,y,z'
loop_
_atom_site_label
_atom_site_fract_x
_atom_site_fract_y
_atom_site_fract_z
V1 0.242 0.242 0.242
V2 0.758 0.758 0.758
Re1 0.000 0.000 0.000
Ge1 0.122 0.122 0.777
Ge2 0.387 0.387 0.665
Ge3 0.613 0.613 0.335
Ge4 0.878 0.878 0.223
```



| no. | calculated density (g/cm3) |
| --- | --- |
| 1 | 8.24 |
| 2 | 7.96 |
| 3 | 5.39 |
| 4 | 8.82 |
| 5 | 5.54 |
| 6 | 12.07 |
| 7 | 9.29 |
| 8 | 6.22 |
| 9 | 9.09 |
| 10 | 3.43 |
| 11 | 4.71 |
| 12 | 8.38 |